A) Density functional theory data (PBE+U) for crystalline Li4MnO2F3 at its relaxed geometry.

Lattice parameters (Å, degrees): 5.1274 5.1274 6.6459 128.34 128.34 45.11
Last column: nearest neighbours and their distance in Å.
Element x y z (fractional)
Li 0.0000 0.0000 0.0000  3 F 1.99-2.07, 2 O 2.01-2.11
Li 0.1900 0.1900 0.5471  3 F 1.97-2.12, 1 O 2.01
Li 0.5750 0.5750 0.7512  3 F 1.97-2.07, 1 O 2.15
Li 0.8071 0.8071 0.3990  3 O 1.98-2.11, 2 F 2.04-2.08
Mn 0.3727 0.3727 0.1755  3 O 1.85-1.97
O 0.2900 0.2900 0.3599  1 Mn 1.85, 3 Li 1.98-2.01
O 0.8835 0.8835 0.1650  2 Mn 1.97, 2 Li 2.01-2.11
F 0.0762 0.0762 0.7721  4 Li 1.97-2.07
F 0.4547 0.4547 0.9528  3 Li 1.99-2.12, 1 Mn 2.08
F 0.6810 0.6810 0.5623  4 Li 1.97-2.08

## Properties
**Space group**: Cm
**Calculated volume**: 9.2 Å³/atom
**Total moment**: 0.398 μB per atom


B) Density functional theory data (PBE+U) for crystalline Li4MnO2F3 at its relaxed geometry.

Lattice parameters (Å, degrees): 5.9199 6.0215 6.5591 105.56 92.67 100.51
Last column: nearest neighbours and their distance in Å.
Element x y z (fractional)
Li 0.0000 0.0000 0.0000  2 O 1.93, 2 F 2.04
Li 0.0005 0.3271 0.8185  3 O 1.99-2.07, 1 F 2.10
Li 0.9995 0.6729 0.1815  3 O 1.99-2.07, 1 F 2.10
Li 0.2767 0.4472 0.2514  2 F 1.86-2.07, 2 O 1.96-1.97
Li 0.3674 0.1360 0.5138  3 F 1.98-2.19, 2 O 2.00-2.02
Li 0.5000 0.0000 0.0000  2 F 1.82
Li 0.6326 0.8640 0.4862  3 F 1.98-2.19, 2 O 2.00-2.02
Li 0.7233 0.5528 0.7486  2 F 1.86-2.07, 2 O 1.96-1.97
Mn 0.1809 0.7305 0.6445  2 O 1.87-1.88, 1 F 2.06
Mn 0.8191 0.2695 0.3555  2 O 1.87-1.88, 1 F 2.06
O 0.0420 0.6822 0.8848  1 Mn 1.88, 4 Li 1.93-2.03
O 0.2932 0.7816 0.3953  1 Mn 1.87, 4 Li 1.96-2.07
O 0.7068 0.2184 0.6047  1 Mn 1.87, 4 Li 1.96-2.07
O 0.9580 0.3178 0.1152  1 Mn 1.88, 4 Li 1.93-2.03
F 0.1638 0.3640 0.5208  2 Li 1.98-2.07, 2 Mn 2.12-2.17
F 0.2216 0.0860 0.7907  3 Li 2.04-2.12, 1 Mn 2.06
F 0.4745 0.2371 0.2315  2 Li 1.82-1.86
F 0.5255 0.7629 0.7685  2 Li 1.82-1.86
F 0.7784 0.9140 0.2093  3 Li 2.04-2.12, 1 Mn 2.06
F 0.8362 0.6360 0.4792  2 Li 1.98-2.07, 2 Mn 2.12-2.17

## Properties
**Space group**: P-1
**Calculated volume**: 11.0 Å³/atom
**Total moment**: 0.400 μB per atom


How far above the most stable structure does each one sit? In meV per atom: A) 0; B) 113.


A) Density functional theory data (PBE+U) for crystalline Li2Mn3OF6 at its relaxed geometry.

Lattice parameters (Å, degrees): 6.1238 6.7186 8.2784 68.35 71.60 83.08
Last column: nearest neighbours and their distance in Å.
Element x y z (fractional)
Li 0.1076 0.3213 0.0600  2 O 2.05-2.12, 3 F 2.13-2.17
Li 0.3051 0.8609 0.4834  4 F 1.94-2.00
Li 0.6949 0.1391 0.5166  4 F 1.94-2.00
Li 0.8924 0.6787 0.9400  2 O 2.05-2.12, 3 F 2.13-2.17
Mn 0.0864 0.1738 0.7735  1 O 2.07, 4 F 2.14-2.23
Mn 0.2323 0.4333 0.3407  1 O 2.09, 5 F 2.13-2.25
Mn 0.3665 0.7459 0.9330  1 O 2.07, 5 F 2.11-2.26
Mn 0.6335 0.2541 0.0670  1 O 2.07, 5 F 2.11-2.26
Mn 0.7677 0.5667 0.6593  1 O 2.09, 5 F 2.13-2.25
Mn 0.9136 0.8262 0.2265  1 O 2.07, 4 F 2.14-2.23
O 0.0789 0.5853 0.1327  2 Li 2.05-2.12, 3 Mn 2.07-2.09
O 0.9211 0.4147 0.8673  2 Li 2.05-2.12, 3 Mn 2.07-2.09
F 0.0934 0.7055 0.4409  1 Li 1.94
F 0.1699 0.8687 0.7330  2 Li 1.99-2.13, 2 Mn 2.17-2.21
F 0.2239 0.0297 0.0021  3 Mn 2.16-2.34, 1 Li 2.17
F 0.3277 0.1412 0.2792  1 Li 2.00, 2 Mn 2.11-2.17
F 0.3914 0.2748 0.5499  1 Li 1.95, 2 Mn 2.13-2.14
F 0.4428 0.4394 0.8723  1 Li 2.17, 3 Mn 2.21-2.26
F 0.5572 0.5606 0.1277  1 Li 2.17, 3 Mn 2.21-2.26
F 0.6086 0.7252 0.4501  1 Li 1.95, 2 Mn 2.13-2.14
F 0.6723 0.8588 0.7208  1 Li 2.00, 2 Mn 2.11-2.17
F 0.7761 0.9703 0.9979  3 Mn 2.16-2.34, 1 Li 2.17
F 0.8301 0.1313 0.2670  2 Li 1.99-2.13, 2 Mn 2.17-2.21
F 0.9066 0.2945 0.5591  1 Li 1.94

## Properties
**Space group**: P-1
**Calculated volume**: 12.5 Å³/atom
**Total moment**: 1.250 μB per atom
**Density of states at the Fermi level**: 0.0000 states/eV/atom


B) Density functional theory data (PBE+U) for crystalline Li2Mn3OF6 at its relaxed geometry.

Lattice parameters (Å, degrees): 5.1668 10.7852 12.0209 64.29 79.01 89.68
Last column: nearest neighbours and their distance in Å.
Element x y z (fractional)
Li 0.0000 0.0000 0.0000  3 F 1.86-2.00, 1 O 1.90
Li 0.0002 0.3192 0.7187  4 F 1.82-1.91
Li 0.1527 0.5883 0.5075  4 F 1.86-1.90
Li 0.3502 0.5504 0.2801  3 F 1.88-1.95, 1 O 1.93
Li 0.3916 0.4947 0.0092  1 O 1.86, 3 F 1.93-1.94
Li 0.6495 0.8176 0.7123  4 F 1.83-1.92
Li 0.7082 0.0919 0.5157  4 F 1.85-1.89
Li 0.7090 0.0329 0.3064  3 F 1.85-1.93, 1 O 1.91
Mn 0.0103 0.6520 0.8549  1 O 2.04, 5 F 2.16-2.24
Mn 0.1311 0.0042 0.7252  1 O 2.04, 3 F 2.12-2.27
Mn 0.1904 0.8570 0.4946  6 F 2.16-2.38
Mn 0.2940 0.2250 0.2992  1 O 2.09, 4 F 2.12-2.26
Mn 0.3452 0.0339 0.1599  1 O 2.04, 5 F 2.15-2.25
Mn 0.4629 0.8215 0.0019  2 O 2.07-2.11, 2 F 2.16-2.23
Mn 0.4921 0.1578 0.8402  1 O 2.02, 3 F 2.15-2.24
Mn 0.5591 0.5096 0.7105  6 F 2.06-2.26
Mn 0.6861 0.3700 0.4742  6 F 2.12-2.32
Mn 0.7681 0.7303 0.2857  1 O 2.10, 5 F 2.14-2.33
Mn 0.8462 0.5395 0.1419  2 O 2.00-2.04, 2 F 2.23
Mn 0.8543 0.3101 0.0305  2 O 2.04-2.05, 1 F 2.21
O 0.2757 0.9830 0.8788  1 Li 1.90, 3 Mn 2.02-2.11
O 0.5717 0.1762 0.1768  1 Li 1.91, 3 Mn 2.04-2.09
O 0.6179 0.6899 0.1535  1 Li 1.93, 3 Mn 2.04-2.10
O 0.7535 0.5032 0.0039  1 Li 1.86, 3 Mn 2.00-2.05
F 0.0582 0.0363 0.3230  1 Li 1.85
F 0.0948 0.8793 0.1545  1 Li 1.90
F 0.1175 0.3748 0.1513  1 Li 1.94, 1 Mn 2.17
F 0.1455 0.1685 0.0053  1 Li 2.00, 2 Mn 2.21-2.24
F 0.2260 0.6600 0.9967  1 Li 1.93
F 0.2817 0.4964 0.8642  1 Li 1.93, 1 Mn 2.06
F 0.2947 0.8249 0.7124  1 Li 1.83
F 0.3426 0.6598 0.5902  1 Li 1.90
F 0.3510 0.3451 0.7121  1 Li 1.82
F 0.4536 0.1737 0.5923  1 Li 1.89
F 0.4600 0.5459 0.4260  2 Li 1.86-1.93
F 0.4663 0.0299 0.4483  2 Li 1.88-1.90
F 0.5129 0.8747 0.3168  1 Li 1.93, 1 Mn 2.14
F 0.5186 0.3791 0.3145  1 Li 1.95, 1 Mn 2.12
F 0.6385 0.0156 0.0121  1 Li 1.86
F 0.7346 0.3297 0.8479  1 Li 1.91
F 0.7842 0.8310 0.8451  1 Li 1.92
F 0.8029 0.6602 0.7098  1 Li 1.88, 1 Mn 2.06
F 0.8594 0.4523 0.5853  2 Li 1.90
F 0.8684 0.1548 0.7292  1 Li 1.85
F 0.9173 0.9516 0.5901  2 Li 1.85-1.89
F 0.9628 0.2431 0.4307  1 Li 1.87
F 0.9734 0.7430 0.4269  1 Li 1.87
F 0.9795 0.5405 0.3070  1 Li 1.88

## Properties
**Space group**: P1
**Calculated volume**: 12.3 Å³/atom
**Total moment**: 1.083 μB per atom


How far above the most stable structure does each one sit? In meV per atom: A) 0; B) 94.


A) Density functional theory data (PBE+U) for crystalline LiMnOF2 at its relaxed geometry.

Lattice parameters (Å, degrees): 6.6737 3.6899 10.3391 90.00 90.00 90.00
Last column: nearest neighbours and their distance in Å.
Element x y z (fractional)
Li 0.0593 0.2500 0.1922  4 F 1.94-2.05
Li 0.4407 0.7500 0.6922  4 F 1.94-2.05
Li 0.5593 0.2500 0.3078  4 F 1.94-2.05
Li 0.9407 0.7500 0.8078  4 F 1.94-2.05
Mn 0.1674 0.2500 0.5084  2 F 1.91-2.04, 3 O 1.93-1.95
Mn 0.3326 0.7500 0.0084  2 F 1.91-2.04, 3 O 1.93-1.95
Mn 0.6674 0.2500 0.9916  2 F 1.91-2.04, 3 O 1.93-1.95
Mn 0.8326 0.7500 0.4916  2 F 1.91-2.04, 3 O 1.93-1.95
O 0.1109 0.7500 0.5488  3 Mn 1.93-1.95
O 0.3891 0.2500 0.0488  3 Mn 1.93-1.95
O 0.6109 0.7500 0.9512  3 Mn 1.93-1.95
O 0.8891 0.2500 0.4512  3 Mn 1.93-1.95
F 0.0935 0.7500 0.1094  1 Mn 1.91, 2 Li 2.05
F 0.2304 0.7500 0.8227  2 Li 1.94-1.95, 1 Mn 2.04
F 0.2696 0.2500 0.3227  2 Li 1.94-1.95, 1 Mn 2.04
F 0.4065 0.2500 0.6094  1 Mn 1.91, 2 Li 2.05
F 0.5935 0.7500 0.3906  1 Mn 1.91, 2 Li 2.05
F 0.7304 0.7500 0.6773  2 Li 1.94-1.95, 1 Mn 2.04
F 0.7696 0.2500 0.1773  2 Li 1.94-1.95, 1 Mn 2.04
F 0.9065 0.2500 0.8906  1 Mn 1.91, 2 Li 2.05

## Properties
**Space group**: Pnma
**Calculated volume**: 12.7 Å³/atom
**Total moment**: 0.800 μB per atom


B) Density functional theory data (PBE+U) for crystalline LiMnOF2 at its relaxed geometry.

Lattice parameters (Å, degrees): 4.0765 4.0765 3.7372 90.00 90.00 90.00
Last column: nearest neighbours and their distance in Å.
Element x y z (fractional)
Li 0.0000 0.0000 0.0000  8 F 2.77, 4 O 2.88
Mn 0.5000 0.5000 0.5000  2 O 1.87, 4 F 2.04
O 0.5000 0.5000 0.0000  2 Mn 1.87
F 0.0000 0.5000 0.5000  2 Mn 2.04
F 0.5000 0.0000 0.5000  2 Mn 2.04

## Properties
**Space group**: P4/mmm
**Calculated volume**: 12.4 Å³/atom
**Total moment**: 0.800 μB per atom
**Density of states at the Fermi level**: 0.2737 states/eV/atom


How far above the most stable structure does each one sit? In meV per atom: A) 0; B) 268.